Record 1
Density functional theory data (GGA-PBE) for a geometry-optimized TaBiIr2 structure.

Results
Uncorrected energy (eV/atom): -7.8787
Calculated formation energy (eV/f.u.): 1.9
Spin magnetization (μB per formula unit): 0.0

a = 6.005 Å, b = 6.005 Å, c = 7.212 Å
α = 65.40°, β = 65.40°, γ = 90.00°
Positions (direct):
Ir  0.875  0.850  0.750
Ir  0.600  0.125  0.250
Ir  0.375  0.400  0.750
Ir  0.150  0.625  0.250
Bi  0.750  0.250  0.500
Bi  0.000  0.000  0.000
Ta  0.500  0.500  0.000
Ta  0.250  0.750  0.500

---

Record 2
Density functional theory data (GGA-PBE) for a geometry-optimized Ta2BiTeIr structure.

Results
Uncorrected energy (eV/atom): -6.8858
Spin magnetization (μB per formula unit): 1.2
Uncorrected formation energy (eV per atom): 1.032

a = 4.925 Å, b = 4.925 Å, c = 5.537 Å
α = 90.00°, β = 90.00°, γ = 90.00°
Each line ends with the local moment (μB).
Positions (direct):
Ir  0.000  0.000  0.000  0.00
Ta  0.000  0.500  0.000  0.43
Ta  0.500  0.000  0.000  0.43
Bi  0.000  0.000  0.500  -0.03
Te  0.500  0.500  0.500  -0.02

---

Record 3
Density functional theory data (GGA-PBE) for a geometry-optimized Ta2TlBiIr structure.

Results
Uncorrected energy (eV/atom): -6.8934
Calculated formation energy (eV/f.u.): 4.3
Spin magnetization (μB per formula unit): 0.9

a = 4.989 Å, b = 5.126 Å, c = 4.989 Å
α = 90.00°, β = 90.00°, γ = 90.00°
Each line ends with the local moment (μB).
Positions (direct):
Ir  0.000  0.000  0.000  -0.01
Bi  0.500  0.500  0.500  -0.06
Tl  0.000  0.500  0.000  -0.01
Ta  0.500  0.000  0.000  0.40
Ta  0.000  0.000  0.500  0.30

---

Record 4
Density functional theory data (GGA-PBE) for a geometry-optimized TbBi2Ir structure.

Results
Uncorrected energy (eV/atom): -5.1600
Calculated formation energy (eV/f.u.): 0.6
Spin magnetization (μB per formula unit): 0.0

a = 3.667 Å, b = 3.667 Å, c = 10.199 Å
α = 79.64°, β = 79.64°, γ = 60.00°
Positions (direct):
Bi  0.107  0.107  0.680
Bi  0.893  0.893  0.320
Ir  0.500  0.500  0.500
Tb  0.000  0.000  0.000

---

Record 5
Density functional theory data (GGA-PBE) for a geometry-optimized Tb5Bi2Ir structure.

Results
Uncorrected energy (eV/atom): -5.7211
Calculated formation energy (eV/f.u.): -6.0
Distance to the lowest polymorph of the same formula (kJ per mole of atoms): 0.0
Spin magnetization (μB per formula unit): 0.0

a = 4.533 Å, b = 8.146 Å, c = 12.529 Å
α = 90.00°, β = 90.00°, γ = 90.00°
Positions (direct):
Bi  0.500  0.069  0.326
Bi  0.500  0.431  0.826
Bi  0.500  0.569  0.174
Bi  0.500  0.931  0.674
Tb  0.000  0.858  0.196
Tb  0.000  0.500  0.000
Tb  0.500  0.682  0.437
Tb  0.000  0.358  0.304
Tb  0.000  0.142  0.804
Tb  0.000  0.000  0.500
Tb  0.500  0.182  0.063
Tb  0.000  0.642  0.696
Tb  0.500  0.318  0.563
Tb  0.500  0.818  0.937
Ir  0.000  0.500  0.500
Ir  0.000  0.000  0.000

---

Record 6
Density functional theory data (GGA-PBE) for a geometry-optimized Tb3BiIr structure.

Results
Uncorrected energy (eV/atom): -6.0877
Calculated formation energy (eV/f.u.): -3.8
Distance to the lowest polymorph of the same formula (kJ per mole of atoms): 0.0
Spin magnetization (μB per formula unit): 0.0

a = 4.347 Å, b = 7.837 Å, c = 16.598 Å
α = 90.00°, β = 90.00°, γ = 90.00°
Positions (direct):
Tb  0.250  0.515  0.090
Tb  0.750  0.485  0.910
Tb  0.750  0.136  0.050
Tb  0.750  0.826  0.204
Tb  0.750  0.636  0.450
Tb  0.750  0.326  0.296
Tb  0.250  0.864  0.950
Tb  0.750  0.985  0.590
Tb  0.250  0.174  0.796
Tb  0.250  0.364  0.550
Tb  0.250  0.015  0.410
Tb  0.250  0.674  0.704
Bi  0.250  0.628  0.300
Bi  0.250  0.128  0.200
Bi  0.750  0.872  0.800
Bi  0.750  0.372  0.700
Ir  0.250  0.264  0.958
Ir  0.750  0.736  0.042
Ir  0.250  0.764  0.542
Ir  0.750  0.236  0.458

---

Record 7
Density functional theory data (GGA-PBE) for a geometry-optimized TbBiIr4 structure.

Results
Uncorrected energy (eV/atom): -7.5995
Calculated formation energy (eV/f.u.): -1.6
Spin magnetization (μB per formula unit): 0.0

a = 5.391 Å, b = 5.391 Å, c = 5.391 Å
α = 60.00°, β = 60.00°, γ = 60.00°
Positions (direct):
Bi  0.000  0.000  0.000
Ir  0.625  0.625  0.625
Ir  0.125  0.625  0.625
Ir  0.625  0.125  0.625
Ir  0.625  0.625  0.125
Tb  0.250  0.250  0.250

---

Record 8
Density functional theory data (GGA-PBE) for a geometry-optimized Tb4BiIr structure.

Results
Uncorrected energy (eV/atom): -5.8294
Calculated formation energy (eV/f.u.): -3.7
Distance to the lowest polymorph of the same formula (kJ per mole of atoms): 3.9
Spin magnetization (μB per formula unit): 0.0

a = 6.116 Å, b = 8.668 Å, c = 8.172 Å
α = 114.99°, β = 102.79°, γ = 106.75°
Positions (direct):
Tb  0.787  0.718  0.658
Tb  0.694  0.349  0.145
Tb  0.050  0.205  0.855
Tb  0.213  0.282  0.342
Tb  0.950  0.795  0.145
Tb  0.629  0.059  0.342
Tb  0.371  0.941  0.658
Tb  0.306  0.651  0.855
Ir  0.750  0.000  0.000
Ir  0.250  0.000  0.000
Bi  0.624  0.374  0.748
Bi  0.376  0.626  0.252